No. 1
Here is a geometry-optimized BaSr2PbI8 structure from the Alexandria database. Energies are from GGA-PBE.

Raw formation energy, eV per atom: -1.429
E_tot, eV/f.u.: -38.5
SG: P2/m, No. 10

a b c (Å): 7.597 10.022 7.866
angles (deg): 90.00 90.02 90.00
Positions (direct):
Ba 0.000 0.000 0.000
Sr 0.500 0.256 0.500
Sr 0.500 0.744 0.500
Pb 0.000 0.500 0.000
I 0.246 0.264 0.156
I 0.246 0.736 0.156
I 0.255 0.500 0.659
I 0.269 0.000 0.645
I 0.731 0.000 0.355
I 0.745 0.500 0.341
I 0.754 0.264 0.844
I 0.754 0.736 0.844

No. 2
Here is a geometry-optimized Ac2Ge4SbPt3 structure from the Alexandria database. Energies are from GGA-PBE.

Raw formation energy, eV per atom: -0.779
E_tot, eV/f.u.: -56.7
SG: P-4m2, No. 115

a b c (Å): 4.555 4.555 10.523
angles (deg): 90.00 90.00 90.00
Positions (direct):
Ac 0.000 0.500 0.237
Ac 0.500 0.000 0.763
Ge 0.000 0.000 0.000
Ge 0.000 0.500 0.647
Ge 0.500 0.000 0.353
Ge 0.500 0.500 0.000
Sb 0.000 0.000 0.500
Pt 0.000 0.500 0.882
Pt 0.500 0.000 0.118
Pt 0.500 0.500 0.500

No. 3
Here is a geometry-optimized Nd6Si2S3I structure from the Alexandria database. Energies are from GGA-PBE.

Raw formation energy, eV per atom: -1.415
E_tot, eV/f.u.: -70.4
SG: C2/m, No. 12

a b c (Å): 9.395 9.395 8.553
angles (deg): 101.73 101.73 25.77
Positions (direct):
Nd 0.005 0.005 0.287
Nd 0.320 0.320 0.899
Nd 0.333 0.333 0.416
Nd 0.667 0.667 0.584
Nd 0.680 0.680 0.101
Nd 0.995 0.995 0.713
Si 0.167 0.167 0.334
Si 0.833 0.833 0.666
S 0.161 0.161 0.837
S 0.500 0.500 0.500
S 0.839 0.839 0.163
I 0.500 0.500 0.000

- What is the raw formation energy in the second record?
  -0.779 eV per atom

Repeat the third record exactly.
Here is a geometry-optimized Nd6Si2S3I structure from the Alexandria database. Energies are from GGA-PBE.

Raw formation energy, eV per atom: -1.415
E_tot, eV/f.u.: -70.4
SG: C2/m, No. 12

a b c (Å): 9.395 9.395 8.553
angles (deg): 101.73 101.73 25.77
Positions (direct):
Nd 0.005 0.005 0.287
Nd 0.320 0.320 0.899
Nd 0.333 0.333 0.416
Nd 0.667 0.667 0.584
Nd 0.680 0.680 0.101
Nd 0.995 0.995 0.713
Si 0.167 0.167 0.334
Si 0.833 0.833 0.666
S 0.161 0.161 0.837
S 0.500 0.500 0.500
S 0.839 0.839 0.163
I 0.500 0.500 0.000

- Which value of E_tot does entry 1 give?
  -38.5 eV/f.u.